[1]
Material: Ir2WAu
Method: DFT, PBEsol
State: optimized geometry

Calculated values
crystal system	tetragonal
final energy	-9.344	eV/atom
energy above the lowest structure with this stoichiometry	0.0	meV/atom

Cell lengths 4.7267, 4.7267, 4.7267 Å; angles 130.43, 130.43, 72.71 degrees
Fractional coordinates of all 4 atoms:
Ir  0.2500  0.7500  0.5000
Ir  0.7500  0.2500  0.5000
W  0.0000  0.0000  0.0000
Au  0.5000  0.5000  0.0000



[2]
Material: IrWAu2
Method: DFT, PBEsol
State: optimized geometry

Calculated values
crystal system	trigonal
final energy	-7.817	eV/atom
energy above the lowest structure with this stoichiometry	0.0	meV/atom

Cell lengths 9.5093, 9.5093, 9.5093 Å; angles 16.91, 16.91, 16.91 degrees
Fractional coordinates of all 4 atoms:
Ir  0.0000  0.0000  0.0000
W  0.7410  0.7410  0.7410
Au  0.2469  0.2469  0.2469
Au  0.4926  0.4926  0.4926



[3]
Material: Y3IrAu
Method: DFT, PBEsol
State: optimized geometry

Calculated values
crystal system	cubic
final energy	-7.113	eV/atom
energy above the lowest structure with this stoichiometry	0.0	meV/atom

Cell lengths 5.2491, 5.2491, 5.2491 Å; angles 90.00, 90.00, 90.00 degrees
Fractional coordinates of all 5 atoms:
Y  0.0000  0.0000  0.5000
Y  0.0000  0.5000  0.0000
Y  0.5000  0.0000  0.0000
Ir  0.0000  0.0000  0.0000
Au  0.5000  0.5000  0.5000



[4]
Material: YIrAu2
Method: DFT, PBEsol
State: optimized geometry

Calculated values
crystal system	orthorhombic
final energy	-6.519	eV/atom
energy above the lowest structure with this stoichiometry	0.0	meV/atom

Cell lengths 3.2745, 3.8302, 5.8022 Å; angles 90.00, 90.00, 90.00 degrees
Fractional coordinates of all 4 atoms:
Y  0.0000  0.0000  0.0000
Ir  0.5000  0.5000  0.7588
Au  0.0000  0.0000  0.5118
Au  0.5000  0.5000  0.2787



[5]
Material: YIrAu2
Method: DFT, PBEsol
State: optimized geometry

Calculated values
crystal system	monoclinic
final energy	-6.402	eV/atom
energy above the lowest structure with this stoichiometry	117.3	meV/atom

Cell lengths 3.1303, 4.6323, 5.2943 Å; angles 90.00, 104.65, 90.00 degrees
Fractional coordinates of all 4 atoms:
Y  0.0000  0.0000  0.0000
Ir  0.5000  0.0000  0.5000
Au  0.3595  0.5000  0.7330
Au  0.6405  0.5000  0.2670



[6]
Material: YIrAu4
Method: DFT, PBEsol
State: optimized geometry

Calculated values
crystal system	cubic
final energy	-5.556	eV/atom

Cell lengths 5.3656, 5.3656, 5.3656 Å; angles 60.00, 60.00, 60.00 degrees
Fractional coordinates of all 6 atoms:
Y  0.0000  0.0000  0.0000
Ir  0.2500  0.2500  0.2500
Au  0.1264  0.6245  0.6245
Au  0.6245  0.1264  0.6245
Au  0.6245  0.6245  0.1264
Au  0.6245  0.6245  0.6245



[7]
Material: Zn2IrAu
Method: DFT, PBEsol
State: optimized geometry

Calculated values
crystal system	tetragonal
final energy	-4.439	eV/atom

Cell lengths 4.0346, 4.0346, 3.4881 Å; angles 90.00, 90.00, 90.00 degrees
Fractional coordinates of all 4 atoms:
Zn  0.0000  0.5000  0.0000
Zn  0.5000  0.0000  0.0000
Ir  0.0000  0.0000  0.5000
Au  0.5000  0.5000  0.5000



[8]
Material: Zn2IrAu
Method: DFT, PBEsol
State: optimized geometry

Calculated values
crystal system	orthorhombic
final energy	-4.292	eV/atom

Cell lengths 2.7966, 3.8744, 5.3846 Å; angles 90.00, 90.00, 90.00 degrees
Fractional coordinates of all 4 atoms:
Zn  0.0000  0.0000  0.0000
Zn  0.5000  0.5000  0.2803
Ir  0.5000  0.5000  0.8057
Au  0.0000  0.0000  0.5029



[9]
Material: Zn2IrAu
Method: DFT, PBEsol
State: optimized geometry

Calculated values
crystal system	trigonal
final energy	-4.358	eV/atom

Cell lengths 8.6877, 8.6877, 8.6877 Å; angles 18.63, 18.63, 18.63 degrees
Fractional coordinates of all 4 atoms:
Zn  0.2466  0.2466  0.2466
Zn  0.7534  0.7534  0.7534
Ir  0.5000  0.5000  0.5000
Au  0.0000  0.0000  0.0000



[10]
Material: Zn2IrAu
Method: DFT, PBEsol
State: optimized geometry

Calculated values
crystal system	tetragonal
final energy	-4.430	eV/atom

Cell lengths 3.1307, 3.1307, 5.8103 Å; angles 90.00, 90.00, 90.00 degrees
Fractional coordinates of all 4 atoms:
Zn  0.0000  0.0000  0.2360
Zn  0.0000  0.0000  0.7640
Ir  0.5000  0.5000  0.0000
Au  0.5000  0.5000  0.5000



[11]
Material: ZnIr2Au
Method: DFT, PBEsol
State: optimized geometry

Calculated values
crystal system	monoclinic
final energy	-6.200	eV/atom

Cell lengths 4.7051, 4.7051, 4.7639 Å; angles 100.41, 100.41, 34.50 degrees
Fractional coordinates of all 4 atoms:
Zn  0.0000  0.0000  0.0000
Ir  0.4880  0.4880  0.4789
Ir  0.7439  0.7439  0.2924
Au  0.2476  0.2476  0.7892



[12]
Material: Zn2IrAu
Method: DFT, PBEsol
State: optimized geometry

Calculated values
crystal system	monoclinic
final energy	-4.356	eV/atom

Cell lengths 4.9474, 4.9474, 4.4278 Å; angles 108.42, 108.42, 34.33 degrees
Fractional coordinates of all 4 atoms:
Zn  0.0000  0.0000  0.0000
Zn  0.2491  0.2491  0.6217
Ir  0.7409  0.7409  0.1090
Au  0.5008  0.5008  0.4987



[13]
Material: Zn2IrAu
Method: DFT, PBEsol
State: optimized geometry

Calculated values
crystal system	orthorhombic
final energy	-4.158	eV/atom

Cell lengths 2.7516, 2.7516, 8.9688 Å; angles 90.00, 90.00, 119.19 degrees
Fractional coordinates of all 4 atoms:
Zn  0.0000  0.0000  0.0000
Zn  0.5000  0.5000  0.2412
Ir  0.0000  0.0000  0.4764
Au  0.5000  0.5000  0.7486



[14]
Material: ZnIr2Au
Method: DFT, PBEsol
State: optimized geometry

Calculated values
crystal system	orthorhombic
final energy	-6.124	eV/atom

Cell lengths 2.7195, 2.7195, 9.1648 Å; angles 90.00, 90.00, 119.26 degrees
Fractional coordinates of all 4 atoms:
Zn  0.0000  0.0000  0.0000
Ir  0.5000  0.5000  0.2339
Ir  0.5000  0.5000  0.7661
Au  0.0000  0.0000  0.5000



[15]
Material: ZnIr2Au
Method: DFT, PBEsol
State: optimized geometry

Calculated values
crystal system	monoclinic
final energy	-6.131	eV/atom

Cell lengths 5.3704, 5.3704, 2.7274 Å; angles 104.45, 104.45, 119.81 degrees
Fractional coordinates of all 4 atoms:
Zn  0.0000  0.0000  0.0000
Ir  0.0000  0.5000  0.5000
Ir  0.5000  0.0000  0.5000
Au  0.5000  0.5000  0.0000



[16]
Material: Zn2IrAu
Method: DFT, PBEsol
State: optimized geometry

Calculated values
crystal system	orthorhombic
final energy	-4.437	eV/atom

Cell lengths 4.4014, 4.4014, 2.9809 Å; angles 90.00, 90.00, 99.71 degrees
Fractional coordinates of all 4 atoms:
Zn  0.0000  0.5000  0.0000
Zn  0.5000  0.0000  0.0000
Ir  0.0000  0.0000  0.5000
Au  0.5000  0.5000  0.5000



[17]
Material: ZrIrAu
Method: DFT, PBEsol
State: optimized geometry

Calculated values
crystal system	trigonal
final energy	-7.745	eV/atom
energy above the lowest structure with this stoichiometry	470.9	meV/atom

Cell lengths 2.8766, 2.8766, 7.0785 Å; angles 90.00, 90.00, 120.00 degrees
Fractional coordinates of all 3 atoms:
Zr  0.0000  0.0000  0.0000
Ir  0.6667  0.3333  0.3178
Au  0.3333  0.6667  0.6529



[18]
Material: ZrIrAu
Method: DFT, PBEsol
State: optimized geometry

Calculated values
crystal system	cubic
final energy	-7.712	eV/atom
energy above the lowest structure with this stoichiometry	504.4	meV/atom

Cell lengths 4.4154, 4.4154, 4.4154 Å; angles 60.00, 60.00, 60.00 degrees
Fractional coordinates of all 3 atoms:
Zr  0.0000  0.0000  0.0000
Ir  0.2500  0.2500  0.2500
Au  0.7500  0.7500  0.7500



[19]
Material: Zr2Ir2Au
Method: DFT, PBEsol
State: optimized geometry

Calculated values
crystal system	tetragonal
final energy	-9.039	eV/atom

Cell lengths 7.5172, 7.5172, 3.1616 Å; angles 90.00, 90.00, 90.00 degrees
Fractional coordinates of all 10 atoms:
Zr  0.1641  0.3359  0.0000
Zr  0.3359  0.8359  0.0000
Zr  0.6641  0.1641  0.0000
Zr  0.8359  0.6641  0.0000
Ir  0.1351  0.6351  0.5000
Ir  0.3649  0.1351  0.5000
Ir  0.6351  0.8649  0.5000
Ir  0.8649  0.3649  0.5000
Au  0.0000  0.0000  0.5000
Au  0.5000  0.5000  0.5000



[20]
Material: ZrIrAu
Method: DFT, PBEsol
State: optimized geometry

Calculated values
crystal system	orthorhombic
final energy	-8.216	eV/atom
energy above the lowest structure with this stoichiometry	0.0	meV/atom

Cell lengths 5.0211, 5.0211, 5.0211 Å; angles 143.15, 136.68, 58.14 degrees
Fractional coordinates of all 3 atoms:
Zr  0.0000  0.0000  0.0000
Ir  0.3512  0.3512  0.0000
Au  0.6763  0.6763  0.0000



| no. | N(E_F) (states/eV/f.u.) | E_form (kJ per mole of atoms) |
| --- | --- | --- |
| 1 | 1.97 | 0 |
| 2 | 1.28 | 5 |
| 3 | 3.09 | -26 |
| 4 | 1.44 | -38 |
| 5 | 1.69 | -27 |
| 6 | 2.98 | -16 |
| 7 | 0.96 | -20 |
| 8 | 2.24 | -6 |
| 9 | 1.42 | -13 |
| 10 | 0.90 | -19 |
| 11 | 2.85 | 9 |
| 12 | 1.87 | -12 |
| 13 | 2.01 | 7 |
| 14 | 3.71 | 16 |
| 15 | 3.65 | 15 |
| 16 | 0.95 | -20 |
| 17 | 2.22 | -13 |
| 18 | 0.49 | -10 |
| 19 | 2.95 | -66 |
| 20 | 1.06 | -58 |